PrPd12: relaxed, PBE.

extended XYZ file:
```
13
Lattice="-4.571 4.571 2.644 4.571 -4.571 2.644 4.571 4.571 -2.644" Properties=species:S:1:pos:R:3 pbc="T T T"
Pr 0.000 0.000 0.000
Pd 2.285 2.285 -1.322
Pd 3.213 0.000 0.000
Pd 2.285 -2.285 1.322
Pd 5.929 0.000 0.000
Pd 4.571 2.572 0.000
Pd 0.000 3.213 0.000
Pd -2.285 2.285 1.322
Pd 2.572 4.571 0.000
Pd 2.285 2.285 1.322
Pd 1.999 0.000 2.644
Pd 0.000 5.929 0.000
Pd 0.000 1.999 2.644
```

Calculated volume   17.0 A^3/atom
Total magnetization   0.00 μB per cell
DFT formation energy   -20.7 kJ/mol of atoms